Record 1
Here is a geometry-optimized HoMg3 structure from the Open Quantum Materials Database. Energies are from GGA-PBE.

Cell: 5.161 5.161 7.297 Å, 90.00 90.00 90.00°
Fractional coordinates of all 8 atoms:
Mg: 0.000 0.500 0.750
Ho: 0.000 0.000 0.000
Mg: 0.000 0.500 0.250
Mg: 0.500 0.500 0.000
Ho: 0.500 0.500 0.500
Mg: 0.500 0.000 0.250
Mg: 0.500 0.000 0.750
Mg: 0.000 0.000 0.500

Results
**DFT total energy**: -2.37 eV/atom
**Space group**: Fm-3m (225)

Record 2
Here is a geometry-optimized B4IrAu structure from the Open Quantum Materials Database. Energies are from GGA-PBE.

Cell: 2.993 2.993 8.030 Å, 90.00 90.00 120.00°
Fractional coordinates of all 6 atoms:
Au: 0.000 0.000 0.500
B: 0.333 0.667 0.787
Ir: 0.000 0.000 0.000
B: 0.333 0.667 0.213
B: 0.667 0.333 0.787
B: 0.667 0.333 0.213

Results
**Polymorph energy (0 for the lowest one)**: 0.000 eV/f.u.
**Space group**: P6/mmm (191)

Record 3
Here is a geometry-optimized Rb2MoSe3 structure from the Open Quantum Materials Database. Energies are from GGA-PBE.

Cell: 7.663 7.663 6.997 Å, 90.00 90.00 74.26°
Fractional coordinates of all 12 atoms:
Rb: 0.509 0.167 0.250
Rb: 0.167 0.509 0.750
Se: 0.355 0.645 0.250
Mo: 0.900 0.100 0.750
Rb: 0.833 0.491 0.250
Rb: 0.491 0.833 0.750
Se: 0.129 0.129 0.500
Se: 0.871 0.871 0.000
Se: 0.871 0.871 0.500
Se: 0.129 0.129 0.000
Mo: 0.100 0.900 0.250
Se: 0.645 0.355 0.750

Results
**Polymorph energy (0 for the lowest one)**: 0.368 eV/f.u.
**Space group**: Cmcm (63)

Record 4
Here is a geometry-optimized TmZnSi structure from the Open Quantum Materials Database. Energies are from GGA-PBE.

Cell: 4.609 4.609 4.609 Å, 60.00 60.00 60.00°
Fractional coordinates of all 3 atoms:
Tm: 0.000 0.000 0.000
Zn: 0.750 0.750 0.750
Si: 0.250 0.250 0.250

Results
**DFT total energy**: -3.68 eV/atom
**Space group**: F-43m (216)

Record 5
Here is a geometry-optimized Ba2GdB2ClO6 structure from the Open Quantum Materials Database. Energies are from GGA-PBE.

Cell: 6.443 5.330 11.339 Å, 90.00 96.31 90.00°
Fractional coordinates of all 24 atoms:
B: 0.792 0.250 0.424
Cl: 0.851 0.250 0.082
Ba: 0.660 0.750 0.928
O: 0.321 0.971 0.566
O: 0.708 0.028 0.741
O: 0.292 0.972 0.259
Gd: 0.652 0.750 0.588
B: 0.379 0.750 0.223
B: 0.621 0.250 0.777
O: 0.679 0.471 0.434
O: 0.992 0.250 0.397
Ba: 0.908 0.750 0.289
O: 0.679 0.030 0.434
O: 0.292 0.528 0.259
O: 0.469 0.250 0.854
O: 0.531 0.750 0.146
Ba: 0.340 0.250 0.072
Gd: 0.348 0.250 0.412
Ba: 0.092 0.250 0.711
B: 0.208 0.750 0.576
O: 0.321 0.530 0.566
O: 0.708 0.472 0.741
O: 0.008 0.750 0.603
Cl: 0.149 0.750 0.918

Results
**DFT total energy**: -7.37 eV/atom
**Space group**: P2_1/m (11)

Record 6
Here is a geometry-optimized Te4Ir3Se2 structure from the Open Quantum Materials Database. Energies are from GGA-PBE.

Cell: 10.029 10.029 5.292 Å, 92.34 92.34 22.81°
Fractional coordinates of all 9 atoms:
Ir: 0.655 0.655 0.492
Se: 0.541 0.541 0.269
Te: 0.218 0.218 0.253
Te: 0.782 0.782 0.747
Te: 0.882 0.882 0.221
Ir: 0.000 0.000 0.000
Te: 0.118 0.118 0.779
Ir: 0.345 0.345 0.508
Se: 0.459 0.459 0.731

Results
**Polymorph energy (0 for the lowest one)**: 0.496 eV/f.u.
**Space group**: C2/m (12)

Record 7
Here is a geometry-optimized LuSbNO structure from the Open Quantum Materials Database. Energies are from GGA-PBE.

Cell: 4.382 4.382 7.324 Å, 90.00 90.00 90.00°
Fractional coordinates of all 8 atoms:
Lu: 0.250 0.750 0.500
O: 0.750 0.250 0.000
N: 0.250 0.250 0.577
Sb: 0.750 0.750 0.899
N: 0.750 0.750 0.423
Lu: 0.750 0.250 0.500
Sb: 0.250 0.250 0.101
O: 0.250 0.750 0.000

Results
**Polymorph energy (0 for the lowest one)**: 2.759 eV/f.u.
**Space group**: P4/nmm (129)

Record 8
Here is a geometry-optimized DyYIn2Ir4 structure from the Open Quantum Materials Database. Energies are from GGA-PBE.

Cell: 4.569 4.569 8.887 Å, 90.00 90.00 120.00°
Fractional coordinates of all 8 atoms:
In: 0.667 0.333 0.751
Ir: 0.333 0.667 0.356
In: 0.667 0.333 0.249
Ir: 0.000 0.000 0.854
Dy: 0.000 0.000 0.500
Ir: 0.000 0.000 0.146
Ir: 0.333 0.667 0.644
Y: 0.333 0.667 0.000

Results
**DFT total energy**: -6.92 eV/atom
**Space group**: P-6m2 (187)

Record 9
Here is a geometry-optimized SmSiHO4 structure from the Open Quantum Materials Database. Energies are from GGA-PBE.

Cell: 4.884 9.266 6.541 Å, 90.00 90.00 90.00°
Fractional coordinates of all 28 atoms:
O: 0.377 0.609 0.052
Sm: 0.197 0.710 0.750
O: 0.877 0.891 0.948
O: 0.877 0.891 0.552
Si: 0.787 0.462 0.750
O: 0.110 0.431 0.750
O: 0.610 0.069 0.250
Si: 0.713 0.962 0.750
O: 0.123 0.109 0.448
Sm: 0.697 0.790 0.250
O: 0.890 0.569 0.250
H: 0.500 0.500 0.500
O: 0.244 0.865 0.250
O: 0.377 0.609 0.448
Sm: 0.803 0.290 0.250
H: 0.000 0.000 0.500
H: 0.500 0.500 0.000
O: 0.744 0.635 0.750
O: 0.123 0.109 0.052
O: 0.256 0.365 0.250
Sm: 0.303 0.210 0.750
Si: 0.213 0.538 0.250
O: 0.623 0.391 0.948
Si: 0.287 0.038 0.250
O: 0.623 0.391 0.552
O: 0.390 0.931 0.750
H: 0.000 0.000 0.000
O: 0.756 0.135 0.750

Results
**Polymorph energy (0 for the lowest one)**: 0.679 eV/f.u.
**Space group**: Pnma (62)

Record 10
Here is a geometry-optimized AcUTe structure from the Open Quantum Materials Database. Energies are from GGA-PBE.

Cell: 5.358 5.358 5.358 Å, 60.00 60.00 60.00°
Fractional coordinates of all 3 atoms:
U: 0.750 0.750 0.750
Ac: 0.250 0.250 0.250
Te: 0.000 0.000 0.000

Results
**Polymorph energy (0 for the lowest one)**: 0.000 eV/f.u.
**Space group**: F-43m (216)

Record 11
Here is a geometry-optimized HoNpTe structure from the Open Quantum Materials Database. Energies are from GGA-PBE.

Cell: 5.068 5.068 5.068 Å, 60.00 60.00 60.00°
Fractional coordinates of all 3 atoms:
Te: 0.250 0.250 0.250
Ho: 0.500 0.500 0.500
Np: 0.000 0.000 0.000

Results
**Polymorph energy (0 for the lowest one)**: 0.000 eV/f.u.
**Space group**: F-43m (216)

Record 12
Here is a geometry-optimized Tb2AgS3 structure from the Open Quantum Materials Database. Energies are from GGA-PBE.

Cell: 10.181 3.847 13.052 Å, 90.00 90.00 90.00°
Fractional coordinates of all 24 atoms:
Tb: 0.283 0.750 0.479
Ag: 0.272 0.250 0.264
S: 0.599 0.250 0.102
Tb: 0.783 0.750 0.021
S: 0.041 0.750 0.894
S: 0.959 0.250 0.106
S: 0.767 0.750 0.364
Tb: 0.217 0.250 0.979
Ag: 0.728 0.750 0.736
Tb: 0.477 0.250 0.755
S: 0.901 0.750 0.602
S: 0.541 0.750 0.606
S: 0.233 0.250 0.636
Ag: 0.772 0.250 0.236
Tb: 0.717 0.250 0.521
Tb: 0.523 0.750 0.245
S: 0.459 0.250 0.394
S: 0.267 0.750 0.136
Tb: 0.977 0.250 0.745
S: 0.733 0.250 0.864
S: 0.401 0.750 0.898
Tb: 0.023 0.750 0.255
Ag: 0.228 0.750 0.764
S: 0.099 0.250 0.398

Results
**Polymorph energy (0 for the lowest one)**: 0.180 eV/f.u.
**Space group**: Pnma (62)